A plane-wave DFT calculation with PBE was carried out for an optimized crystal structure of PmHo2PuO8.

As for the magnetic moment: 2.0 Bohr magnetons per cell. The crystal system is orthorhombic. Its uncorrected formation energy is -3069 meV/atom.

It has space group Cmmm (No. 65), with a = 7.1990 Å, b = 7.2374 Å, c = 7.0448 Å, α = 90.00°, β = 90.00° and γ = 90.00°. The distinct sites, in fractional coordinates, are Pm at (0.0000, 0.0000, 0.0000), Ho at (0.0000, 0.5000, 0.2419), Pu at (0.0000, 0.0000, 0.5000), O at (0.0000, 0.1865, 0.2835), O at (0.1850, 0.5000, 0.0000) and O at (0.2211, 0.5000, 0.5000).


A plane-wave DFT calculation with PBE was carried out for an optimized crystal structure of Pm2HoReO8.

As for the magnetic moment: 0.0 Bohr magnetons per cell. The crystal system is monoclinic. Its uncorrected formation energy is -2714 meV/atom.

It has space group P2/m (No. 10), with a = 5.1485 Å, b = 6.8442 Å, c = 5.1520 Å, α = 90.00°, β = 90.90° and γ = 90.00°. The distinct sites, in fractional coordinates, are Pm at (0.0000, 0.2498, 0.0000), Ho at (0.5000, 0.0000, 0.5000), Re at (0.5000, 0.5000, 0.5000), O at (0.1997, 0.0000, 0.1982), O at (0.2397, 0.5000, 0.2378) and O at (0.3227, 0.2932, 0.6756).


A plane-wave DFT calculation with PBE was carried out for an optimized crystal structure of PmHoRuO6.

As for the magnetic moment: 4.0 Bohr magnetons per cell. The crystal system is trigonal. Its uncorrected formation energy is -2254 meV/atom.

It has space group P-31c (No. 163), with a = 5.4964 Å, b = 5.4964 Å, c = 9.8220 Å, α = 90.00°, β = 90.00° and γ = 120.00°. The distinct sites, in fractional coordinates, are Pm at (0.0000, 0.0000, 0.0000), Ho at (0.3333, 0.6667, 0.2500), Ru at (0.3333, 0.6667, 0.7500) and O at (0.0406, 0.3743, 0.6379).


A plane-wave DFT calculation with PBE was carried out for an optimized crystal structure of Pm2HoRuO8.

As for the magnetic moment: 2.1 Bohr magnetons per cell. The crystal system is orthorhombic. Its uncorrected formation energy is -2320 meV/atom.

It has space group Cmmm (No. 65), with a = 7.2249 Å, b = 7.3074 Å, c = 6.8576 Å, α = 90.00°, β = 90.00° and γ = 90.00°. The distinct sites, in fractional coordinates, are Pm at (0.0000, 0.0000, 0.2500), Ho at (0.0000, 0.5000, 0.0000), Ru at (0.0000, 0.5000, 0.5000), O at (0.0000, 0.3219, 0.2887), O at (0.1978, 0.0000, 0.0000) and O at (0.2407, 0.0000, 0.5000).


A plane-wave DFT calculation with PBE was carried out for an optimized crystal structure of PmHo2RuO8.

As for the magnetic moment: 1.0 Bohr magnetons per cell. The crystal system is monoclinic. Its uncorrected formation energy is -2377 meV/atom.

It has space group P2/m (No. 10), with a = 5.0470 Å, b = 6.8194 Å, c = 5.0575 Å, α = 90.00°, β = 90.17° and γ = 90.00°. The distinct sites, in fractional coordinates, are Pm at (0.0000, 0.0000, 0.0000), Ho at (0.5000, 0.2494, 0.5000), Ru at (0.0000, 0.5000, 0.0000), O at (0.1868, 0.2948, 0.1852), O at (0.2659, 0.5000, 0.7331) and O at (0.3139, 0.0000, 0.6845).


A plane-wave DFT calculation with PBE was carried out for an optimized crystal structure of PmHoSbO6.

As for the magnetic moment: 2.1 Bohr magnetons per cell. The crystal system is trigonal. Its uncorrected formation energy is -2411 meV/atom.

It has space group P-31c (No. 163), with a = 5.6569 Å, b = 5.6569 Å, c = 9.6759 Å, α = 90.00°, β = 90.00° and γ = 120.00°. The distinct sites, in fractional coordinates, are Pm at (0.0000, 0.0000, 0.0000), Ho at (0.3333, 0.6667, 0.2500), Sb at (0.3333, 0.6667, 0.7500) and O at (0.0346, 0.3682, 0.6366).


A plane-wave DFT calculation with PBE was carried out for an optimized crystal structure of PmHoSb2O8.

As for the magnetic moment: 0.0 Bohr magnetons per cell. The crystal system is tetragonal. Its uncorrected formation energy is -2326 meV/atom.

It has space group I-4 (No. 82), with a = 5.3021 Å, b = 5.3021 Å, c = 11.3335 Å, α = 90.00°, β = 90.00° and γ = 90.00°. The distinct sites, in fractional coordinates, are Pm at (0.0000, 0.0000, 0.0000), Ho at (0.0000, 0.5000, 0.2500), Sb at (0.0000, 0.0000, 0.5000), Sb at (0.0000, 0.5000, 0.7500), O at (0.1743, 0.2533, 0.4098) and O at (0.1841, 0.7522, 0.8366).


A plane-wave DFT calculation with PBE was carried out for an optimized crystal structure of PmHo2SbO8.

As for the magnetic moment: 2.0 Bohr magnetons per cell. The crystal system is monoclinic. Its uncorrected formation energy is -2467 meV/atom.

It has space group P2/m (No. 10), with a = 4.1035 Å, b = 7.3723 Å, c = 5.2378 Å, α = 90.00°, β = 94.12° and γ = 90.00°. The distinct sites, in fractional coordinates, are Pm at (0.0000, 0.0000, 0.0000), Ho at (0.5000, 0.2566, 0.5000), Sb at (0.0000, 0.5000, 0.0000), O at (0.0498, 0.2854, 0.7550), O at (0.4254, 0.5000, 0.2185) and O at (0.4948, 0.0000, 0.2573).


A plane-wave DFT calculation with PBE was carried out for an optimized crystal structure of Pm2HoScO6.

As for the magnetic moment: 0.0 Bohr magnetons per cell. The crystal system is trigonal. Its uncorrected formation energy is -3454 meV/atom.

It has space group R3 (No. 146, hexagonal axes), with a = 5.8116 Å, b = 5.8116 Å, c = 14.8587 Å, α = 90.00°, β = 90.00° and γ = 120.00°. The distinct sites, in fractional coordinates, are Pm at (0.0000, 0.0000, 0.0000), Pm at (0.0000, 0.0000, 0.4988), Ho at (0.0000, 0.0000, 0.2230), Sc at (0.0000, 0.0000, 0.7199), O at (0.0587, 0.3479, 0.7856) and O at (0.0656, 0.6967, 0.2888).


A plane-wave DFT calculation with PBE was carried out for an optimized crystal structure of PmHoSe2O.

As for the magnetic moment: 0.0 Bohr magnetons per cell. The crystal system is tetragonal. Its uncorrected formation energy is -2393 meV/atom.

It has space group P4/nmm (No. 129, origin choice 2), with a = 4.0246 Å, b = 4.0246 Å, c = 14.5541 Å, α = 90.00°, β = 90.00° and γ = 90.00°. The distinct sites, in fractional coordinates, are Pm at (0.2500, 0.2500, 0.0806), Ho at (0.2500, 0.2500, 0.6245), Se at (0.2500, 0.2500, 0.4112), Se at (0.2500, 0.2500, 0.8042) and O at (0.2500, 0.7500, 0.0000).


A plane-wave DFT calculation with PBE was carried out for an optimized crystal structure of Pm2Ho4Sn3O2.

As for the magnetic moment: 0.0 Bohr magnetons per cell. The crystal system is tetragonal. Its uncorrected formation energy is -1539 meV/atom.

It has space group I4/mmm (No. 139), with a = 4.6415 Å, b = 4.6415 Å, c = 25.3325 Å, α = 90.00°, β = 90.00° and γ = 90.00°. The distinct sites, in fractional coordinates, are Pm at (0.0000, 0.0000, 0.1949), Ho at (0.0000, 0.5000, 0.0821), Sn at (0.0000, 0.0000, 0.3249), Sn at (0.0000, 0.0000, 0.5000) and O at (0.0000, 0.0000, 0.0932).


A plane-wave DFT calculation with PBE was carried out for an optimized crystal structure of PmHo2TaO8.

As for the magnetic moment: 2.0 Bohr magnetons per cell. The crystal system is monoclinic. Its uncorrected formation energy is -2894 meV/atom.

It has space group P2/m (No. 10), with a = 5.0617 Å, b = 6.9803 Å, c = 5.0689 Å, α = 90.00°, β = 90.39° and γ = 90.00°. The distinct sites, in fractional coordinates, are Pm at (0.0000, 0.0000, 0.0000), Ho at (0.5000, 0.2562, 0.5000), Ta at (0.0000, 0.5000, 0.0000), O at (0.1864, 0.2871, 0.8122), O at (0.2826, 0.5000, 0.2810) and O at (0.3180, 0.0000, 0.3159).


Question: Among the records above, which one has the highest magnetic moment?
Answer: PmHoRuO6


Question: Which of these has the highest uncorrected formation energy?
Answer: Pm2Ho4Sn3O2


Question: Among the records above, which one has the highest uncorrected formation energy?
Answer: Pm2Ho4Sn3O2


Question: Among the records above, which one has the highest magnetic moment?
Answer: PmHoRuO6